1.
Entry from the Alexandria database: a relaxed Te2RhCl crystal (PBE).

```
Te2RhCl
1.0
4.822 0.000 0.000
0.000 4.315 0.000
0.000 0.000 4.315
Cl Te Rh
1 2 1
Direct
0.500 0.500 0.000
0.000 0.500 0.500
0.000 0.000 0.000
0.500 0.000 0.500
```

Output
ρ: 7.3 Mg/m³
magnetic moment: 0.46 Bohr magnetons per cell
DOS at the Fermi energy: 1.029 states/eV per atom
uncorrected formation energy: 0.520 eV/atom

=====

2.
Entry from the Alexandria database: a relaxed TeRhCl crystal (PBE).

```
TeRhCl
1.0
-1.738 3.196 -0.758
-2.945 -2.870 -5.349
-2.414 -1.966 6.351
Cl Te Rh
2 2 2
Direct
0.362 0.031 0.724
0.638 0.969 0.276
0.141 0.473 0.281
0.859 0.527 0.719
0.251 0.247 0.502
0.749 0.753 0.498
```

Output
ρ: 5.8 Mg/m³
magnetic moment: 0.00 Bohr magnetons per cell
DOS at the Fermi energy: 0.000 states/eV per atom
uncorrected formation energy: -0.529 eV/atom

=====

3.
Entry from the Alexandria database: a relaxed Te6RhCl3 crystal (PBE).

```
Te6RhCl3
1.0
-4.058 -4.247 -7.172
1.423 -6.309 6.642
-5.900 6.350 3.289
Cl Te Rh
6 12 2
Direct
0.250 0.992 0.508
0.750 0.008 0.492
0.492 0.750 0.008
0.508 0.250 0.992
0.992 0.508 0.250
0.008 0.492 0.750
0.925 0.173 0.187
0.687 0.673 0.425
0.327 0.575 0.313
0.313 0.327 0.575
0.813 0.075 0.827
0.827 0.813 0.075
0.075 0.827 0.813
0.173 0.187 0.925
0.425 0.687 0.673
0.187 0.925 0.173
0.673 0.425 0.687
0.575 0.313 0.327
0.250 0.250 0.250
0.750 0.750 0.750
```

Output
ρ: 5.0 Mg/m³
magnetic moment: 0.00 Bohr magnetons per cell
uncorrected formation energy: -0.397 eV/atom

=====

4.
Entry from the Alexandria database: a relaxed Te4RhCl crystal (PBE).

```
Te4RhCl
1.0
0.000 4.357 4.357
4.357 0.000 4.357
4.357 4.357 0.000
Te Rh Cl
4 1 1
Direct
0.375 0.375 0.375
0.375 0.875 0.375
0.375 0.375 0.875
0.875 0.375 0.375
0.000 0.000 0.000
0.750 0.750 0.750
```

Output
ρ: 6.5 Mg/m³
magnetic moment: 0.52 Bohr magnetons per cell
energy above the lowest structure with this stoichiometry: 774 meV per atom
DOS at the Fermi energy: 1.247 states/eV per atom
uncorrected formation energy: 0.655 eV/atom

=====

Q: Among the records above, which one has the highest ρ?
A: Te2RhCl